Compound: ZrScAl
Source: Alexandria
Functional: PBEsol
Structure: optimized geometry

Output
**Energy relative to the lowest polymorph listed for this composition**: 169.6 meV/atom
**Total magnetization**: 0.000 μB per formula unit
**Volume**: 62.5 Å³ per cell
**DFT formation energy**: -0.14 eV per atom

a = 3.1450 Å, b = 3.1450 Å, c = 7.3022 Å
α = 90.00°, β = 90.00°, γ = 120.00°
With the nearest neighbours (Å) after each atom.
Fractional positions:
Zr 0.0000 0.0000 0.0000  3 Al 2.99, 3 Sc 3.11, 6 Zr 3.14
Sc 0.6667 0.3333 0.3460  3 Al 3.01, 3 Zr 3.11, 6 Sc 3.14
Al 0.3333 0.6667 0.6739  3 Zr 2.99, 3 Sc 3.01, 6 Al 3.14